Record 1
28
Lattice="7.955 0.000 0.000 0.000 7.955 0.000 0.000 0.000 11.268" Properties=species:S:1:pos:R:3 comment="MnTe4Pd2, relaxed, DFT PBE" raw_formation_energy_ev_per_atom=-0.285 spacegroup=P4_122 density_g_cm3=7.2 relative_energy_kj_per_mol_atoms=0.0 n_ef_per_ev_atom=0.470 pbc="T T T"
Mn 0.000 1.906 0.000
Mn 0.000 6.049 5.634
Mn 1.906 0.000 8.451
Mn 6.049 0.000 2.817
Te 0.081 1.955 8.569
Te 0.081 6.001 8.333
Te 1.945 3.741 11.166
Te 1.945 4.215 5.736
Te 1.955 0.081 11.150
Te 1.955 7.874 5.752
Te 3.741 1.945 8.553
Te 3.741 6.010 8.349
Te 4.215 1.945 2.715
Te 4.215 6.010 2.919
Te 6.001 0.081 0.118
Te 6.001 7.874 5.516
Te 6.010 3.741 0.102
Te 6.010 4.215 5.532
Te 7.874 1.955 2.699
Te 7.874 6.001 2.935
Pd 1.920 3.978 8.451
Pd 2.065 2.065 4.226
Pd 2.065 5.890 1.409
Pd 3.978 1.920 0.000
Pd 3.978 6.035 5.634
Pd 5.890 2.065 7.043
Pd 5.890 5.890 9.860
Pd 6.035 3.978 2.817


Record 2
18
Lattice="7.458 0.000 0.000 0.000 5.232 0.000 -6.722 0.000 8.026" Properties=species:S:1:pos:R:3 comment="MnTe2Pd6, relaxed, DFT PBE" raw_formation_energy_ev_per_atom=-0.194 spacegroup=P2_1/c density_g_cm3=10.1 n_ef_per_ev_atom=0.592 pbc="T T T"
Mn 0.000 0.000 0.000
Mn -3.361 2.616 4.013
Te 0.431 0.979 2.408
Te -2.930 1.637 6.422
Te 3.666 3.595 1.605
Te 0.305 4.253 5.618
Pd -1.079 3.810 2.078
Pd -4.440 4.038 6.091
Pd 1.242 2.934 0.547
Pd -2.119 4.914 4.560
Pd 2.529 0.493 0.510
Pd -0.832 2.123 4.523
Pd 1.568 3.109 3.504
Pd -1.793 4.739 7.517
Pd 2.855 0.318 3.466
Pd -0.506 2.298 7.479
Pd 5.176 1.194 1.935
Pd 1.815 1.422 5.948


Record 3
11
Lattice="4.620 0.000 0.000 -0.385 6.251 0.000 -2.108 -3.112 6.549" Properties=species:S:1:pos:R:3 comment="MnTe2Pd8, relaxed, DFT PBE" raw_formation_energy_ev_per_atom=-0.217 spacegroup=P1 density_g_cm3=10.2 relative_energy_kj_per_mol_atoms=4.5 n_ef_per_ev_atom=0.509 pbc="T T T"
Mn 0.000 0.000 0.000
Te 0.090 -0.287 4.479
Te 2.211 2.836 2.086
Pd -0.309 4.619 2.119
Pd -0.042 1.531 2.580
Pd 1.520 4.249 0.007
Pd -0.167 3.324 5.009
Pd 2.334 0.199 1.536
Pd 2.458 -1.584 3.972
Pd 2.196 1.493 4.441
Pd 3.919 2.550 0.005


Record 4
4
Lattice="1.838 1.061 8.317 -1.838 1.061 8.317 0.000 -2.122 8.317" Properties=species:S:1:pos:R:3 comment="MnTe2Pd, relaxed, DFT PBE" raw_formation_energy_ev_per_atom=-0.017 spacegroup=R-3m density_g_cm3=7.1 n_ef_per_ev_atom=0.475 pbc="T T T"
Mn 0.000 0.000 0.000
Te 0.000 0.000 9.905
Te 0.000 0.000 15.045
Pd 0.000 0.000 12.475


Record 5
12
Lattice="5.254 0.000 0.000 0.000 7.925 0.000 -2.149 0.000 4.761" Properties=species:S:1:pos:R:3 comment="MnTePd4, relaxed, DFT PBE" raw_formation_energy_ev_per_atom=-0.217 spacegroup=P2_1/c density_g_cm3=10.2 relative_energy_kj_per_mol_atoms=0.0 n_ef_per_ev_atom=0.412 pbc="T T T"
Mn 0.000 0.000 0.000
Mn -1.075 3.963 2.380
Te 1.552 0.000 2.380
Te 2.627 3.963 0.000
Pd -0.730 1.315 2.864
Pd 0.345 2.648 0.483
Pd 1.206 5.276 1.869
Pd 0.131 6.612 4.250
Pd 2.974 1.313 0.511
Pd 1.899 2.649 2.891
Pd 2.760 5.278 4.277
Pd 3.835 6.610 1.897


Record 6
5
Lattice="-1.922 1.922 6.425 1.922 -1.922 6.425 1.922 1.922 -6.425" Properties=species:S:1:pos:R:3 comment="Mn2TePd2, relaxed, DFT PBE" raw_formation_energy_ev_per_atom=0.115 spacegroup=I4/mmm density_g_cm3=7.9 relative_energy_kj_per_mol_atoms=0.0 n_ef_per_ev_atom=0.678 pbc="T T T"
Mn 0.000 0.000 1.434
Mn 0.000 0.000 11.416
Te 0.000 0.000 6.425
Pd 1.922 0.000 3.213
Pd 0.000 1.922 3.213